Compound: LiBeGe2
Source: the Alexandria database
Functional: PBE
Structure: optimized geometry

Summary:
- Symmetry: R-3m (166)
- DOS at the Fermi energy: 0.27 states/eV/atom
- Formation energy from the elements: 0.083 eV per atom

a b c (Å): 3.7764 3.7764 5.8664
angles (deg): 71.22 71.22 60.00
Positions (direct):
Be: 0.0000 0.0000 0.0000
Ge: 0.2755 0.2755 0.1736
Ge: 0.7245 0.7245 0.8264
Li: 0.5000 0.5000 0.5000